The following is a DFT calculation (PBE-GGA) of a relaxed structure of TiZnP2I.

a b c (Å): 5.1927 5.0643 5.1927
angles (deg): 90.00 90.00 90.00
Element x y z (fractional)
I: 0.0000 0.0000 0.0000
P: 0.0000 0.0000 0.5000
P: 0.5000 0.0000 0.0000
Zn: 0.5000 0.5000 0.5000
Ti: 0.0000 0.5000 0.0000

Values from the calculation:
Formation energy from raw total energies (meV per atom): 1482
Fermi-level density of states (states/eV per atom): 1.739
E_tot (eV per atom): -2.8254
M_tot (μB/f.u.): 0.1